A relaxed structure of BaZn2CuIr, computed with GGA-PBE.

## Properties
Formation enthalpy at 0 K = -138 meV/atom
Total magnetic moment = 0.0000 μB/atom

a = 4.8747 Å, b = 4.8747 Å, c = 4.9620 Å
α = 90.00°, β = 90.00°, γ = 90.00°
With the nearest neighbours (Å) after each atom.
Fractional coordinates of all 5 atoms:
Ba  0.0000  0.0000  0.0000  4 Cu 3.45, 8 Zn 3.48
Zn  0.0000  0.5000  0.5000  2 Ir 2.44
Zn  0.5000  0.0000  0.5000  2 Ir 2.44
Cu  0.5000  0.5000  0.0000  2 Ir 2.48
Ir  0.5000  0.5000  0.5000  4 Zn 2.44, 2 Cu 2.48